ZnCuAg | PBE-GGA | optimized geometry

## Properties
energy relative to the lowest polymorph listed for this composition	36	meV per atom
space-group type	Imm2 (44)
ΔE_f	-0.01	eV per atom

POSCAR file:
```
ZnCuAg
1.0
-1.4619 1.6607 4.5597
1.4619 -1.6607 4.5597
1.4619 1.6607 -4.5597
Zn Cu Ag
1 1 1
Direct
0.0000 0.0000 0.0000 Zn
0.3584 0.3584 0.0000 Cu
0.6807 0.6807 0.0000 Ag
```